Nd3DyMg | PBE-GGA | relaxed

Cell lengths 3.582, 11.433, 8.593 Å; angles 71.86, 90.00, 99.01 degrees
Atoms (fractional coordinates):
Nd 0.985 0.970 0.219
Nd 0.015 0.030 0.781
Nd 0.733 0.466 0.181
Nd 0.267 0.534 0.819
Nd 0.826 0.651 0.437
Nd 0.174 0.349 0.563
Dy 0.380 0.761 0.040
Dy 0.620 0.239 0.960
Mg 0.425 0.850 0.597
Mg 0.575 0.150 0.403

Results
SG: C2/m
Formation energy in eV per atom: 0.061
Magnetization in Bohr magnetons per cell: 0.0
Relative energy among the computed polymorphs in meV per atom: 0
DFT total energy in eV per atom: -4.04

Nd3Er8Tl | PBE-GGA | relaxed

Cell lengths 8.305, 8.305, 8.305 Å; angles 94.82, 117.26, 117.26 degrees
Atoms (fractional coordinates):
Nd 0.500 0.750 0.250
Nd 0.500 0.250 0.750
Nd 0.000 0.500 0.500
Er 0.504 0.267 0.267
Er 0.496 0.763 0.763
Er 0.000 0.733 0.237
Er 0.000 0.237 0.733
Er 0.254 0.382 0.382
Er 0.746 0.128 0.128
Er 0.000 0.618 0.872
Er 0.000 0.872 0.618
Tl 0.000 0.000 0.000

Results
SG: I-42m
Formation energy in eV per atom: 0.526
Magnetization in Bohr magnetons per cell: 0.0
DFT total energy in eV per atom: -3.90

HgSbTe2O8 | PBE-GGA | relaxed

Cell lengths 5.730, 6.503, 6.832 Å; angles 49.43, 65.21, 63.86 degrees
Atoms (fractional coordinates):
Hg 0.500 0.500 0.500
Sb 0.000 0.000 0.000
Te 0.273 0.245 0.209
Te 0.727 0.755 0.791
O 0.910 0.413 0.767
O 0.675 0.490 0.160
O 0.090 0.587 0.233
O 0.325 0.510 0.840
O 0.633 0.983 0.244
O 0.367 0.017 0.756
O 0.139 0.983 0.244
O 0.861 0.017 0.756

Results
SG: C2/m
Magnetization in Bohr magnetons per cell: 0.0
Formation energy from raw total energies in meV/atom: -809.2
DFT total energy in eV per atom: -5.01

YFeRh2 | PBE-GGA | relaxed

Cell lengths 3.248, 3.254, 6.378 Å; angles 90.00, 90.00, 90.00 degrees
Atoms (fractional coordinates):
Fe 0.500 0.500 0.750
Rh 0.000 0.000 0.965
Rh 0.000 0.000 0.535
Y 0.500 0.500 0.250

Results
SG: P4/mmm
Formation energy in eV per atom: -0.324
Magnetization in Bohr magnetons per cell: 4.1
DFT total energy in eV per atom: -7.73

AcZn12Ni6 | PBE-GGA | relaxed

Cell lengths 6.917, 6.917, 6.917 Å; angles 104.00, 104.00, 104.00 degrees
Atoms (fractional coordinates):
Ac 0.000 0.000 0.000
Zn 0.884 0.116 0.500
Zn 0.854 0.583 0.583
Zn 0.583 0.583 0.854
Zn 0.417 0.146 0.417
Zn 0.417 0.417 0.146
Zn 0.146 0.417 0.417
Zn 0.116 0.500 0.884
Zn 0.500 0.884 0.116
Zn 0.116 0.884 0.500
Zn 0.884 0.500 0.116
Zn 0.500 0.116 0.884
Zn 0.583 0.854 0.583
Ni 0.695 0.267 0.267
Ni 0.267 0.267 0.695
Ni 0.267 0.695 0.267
Ni 0.733 0.733 0.305
Ni 0.305 0.733 0.733
Ni 0.733 0.305 0.733

Results
SG: R-3m
Formation energy in eV per atom: -0.125
Magnetization in Bohr magnetons per cell: 0.0
DFT total energy in eV per atom: -2.97

ScSiN2F | PBE-GGA | relaxed

Cell lengths 4.199, 4.199, 3.957 Å; angles 90.00, 90.00, 90.00 degrees
Atoms (fractional coordinates):
Sc 0.000 0.000 0.000
Si 0.500 0.500 0.500
N 0.000 0.500 0.000
N 0.500 0.000 0.000
F 0.000 0.000 0.500

Results
SG: P4/mmm
Magnetization in Bohr magnetons per cell: 1.2
Relative energy among the computed polymorphs in meV per atom: 1143
Formation energy from raw total energies in meV/atom: -95.2
DFT total energy in eV per atom: -6.15

TaInW | PBE-GGA | relaxed

Cell lengths 5.111, 5.111, 5.111 Å; angles 147.97, 128.53, 61.92 degrees
Atoms (fractional coordinates):
In 0.001 0.001 0.000
Ta 0.333 0.333 0.000
W 0.666 0.666 0.000

Results
SG: Imm2
Formation energy in eV per atom: 0.345
Magnetization in Bohr magnetons per cell: 0.0
Relative energy among the computed polymorphs in meV per atom: 110
DFT total energy in eV per atom: -8.84

TlSbTe | PBE-GGA | relaxed

Cell lengths 5.327, 5.327, 5.327 Å; angles 60.00, 60.00, 60.00 degrees
Atoms (fractional coordinates):
Sb 0.750 0.750 0.750
Te 0.000 0.000 0.000
Tl 0.500 0.500 0.500

Results
SG: F-43m
Magnetization in Bohr magnetons per cell: 0.0
Relative energy among the computed polymorphs in meV per atom: 175
Formation energy from raw total energies in meV/atom: 162.7
DFT total energy in eV per atom: -3.05

Y2Ge2Bi | PBE-GGA | relaxed

Cell lengths 7.706, 7.706, 4.143 Å; angles 90.00, 90.00, 90.00 degrees
Atoms (fractional coordinates):
Y 0.178 0.678 0.500
Y 0.678 0.822 0.500
Y 0.822 0.322 0.500
Y 0.322 0.178 0.500
Ge 0.383 0.883 0.000
Ge 0.883 0.617 0.000
Ge 0.617 0.117 0.000
Ge 0.117 0.383 0.000
Bi 0.000 0.000 0.000
Bi 0.500 0.500 0.000

Results
SG: P4/mbm
Formation energy in eV per atom: -0.676
Magnetization in Bohr magnetons per cell: 0.0
Relative energy among the computed polymorphs in meV per atom: 0
DFT total energy in eV per atom: -5.88

K2ScHg | PBE-GGA | relaxed

Cell lengths 10.510, 10.510, 4.688 Å; angles 77.33, 77.33, 19.42 degrees
Atoms (fractional coordinates):
Hg 0.250 0.250 0.250
K 0.905 0.905 0.097
K 0.595 0.595 0.403
Sc 0.750 0.750 0.750

Results
SG: C2/m
Formation energy in eV per atom: 0.065
Magnetization in Bohr magnetons per cell: 0.0
Relative energy among the computed polymorphs in meV per atom: 36
DFT total energy in eV per atom: -2.14

Ni2SeS | PBE-GGA | relaxed

Cell lengths 3.683, 3.681, 5.935 Å; angles 90.13, 90.04, 120.02 degrees
Atoms (fractional coordinates):
Ni 0.735 0.495 0.039
Ni 0.403 0.830 0.599
Se 0.402 0.828 0.204
S 0.737 0.497 0.676

Results
SG: Cm
Magnetization in Bohr magnetons per cell: 0.0
Relative energy among the computed polymorphs in meV per atom: 23
Formation energy from raw total energies in meV/atom: -255.7
DFT total energy in eV per atom: -5.05

Question: Among the records above, which one has the highest magnetization?
Answer: YFeRh2

Question: What is the DFT total energy in the ninth record?
Answer: -5.88 eV per atom